No. 1
Material: YPtW2
Method: DFT, meta-GGA SCAN
State: PBEsol geometry

Results
**Uncorrected energy**: -237.6 eV for the cell shown
**Crystal system**: tetragonal
**Polymorph energy (0 for the lowest one)**: 0.0 kJ/mol of formula units
**E_form**: -0.06 eV per atom
**Volume**: 18.016 Å³/atom

Cell: 3.2419 3.2419 6.8568 Å, 90.00 90.00 90.00°
With the nearest neighbours (Å) after each atom.
Positions (direct):
Y 0.0000 0.0000 0.0000  4 Pt 2.96, 4 W 3.05, 4 Y 3.24
Pt 0.5000 0.5000 0.2742  5 W 2.81-2.96, 4 Y 2.96
W 0.0000 0.0000 0.5113  4 W 2.65, 4 Pt 2.81
W 0.5000 0.5000 0.7058  4 W 2.65, 1 Pt 2.96


No. 2
Material: ZnPtW2
Method: DFT, meta-GGA SCAN
State: PBEsol geometry

Results
**Uncorrected energy**: -222.9 eV for the cell shown
**Crystal system**: orthorhombic
**E_form**: 0.05 eV per atom
**Volume**: 14.857 Å³/atom

Cell: 4.9752 4.9752 2.6769 Å, 90.00 90.00 116.25°
With the nearest neighbours (Å) after each atom.
Positions (direct):
Zn 0.0000 0.0000 0.0000  2 Pt 2.63, 2 Zn 2.68, 8 W 2.82
Pt 0.5000 0.5000 0.0000  2 Zn 2.63, 2 Pt 2.68, 8 W 2.82
W 0.0000 0.5000 0.5000  4 W 2.63-2.68, 4 Pt 2.82, 4 Zn 2.82
W 0.5000 0.0000 0.5000  4 W 2.63-2.68, 4 Pt 2.82, 4 Zn 2.82


No. 3
Material: ZnPt3W
Method: DFT, meta-GGA SCAN
State: PBEsol geometry

Results
**Uncorrected energy**: -287.7 eV for the cell shown
**Crystal system**: cubic
**E_form**: 1.21 eV per atom
**Volume**: 21.957 Å³/atom

Cell: 4.7883 4.7883 4.7883 Å, 90.00 90.00 90.00°
With the nearest neighbours (Å) after each atom.
Positions (direct):
Zn 0.0000 0.0000 0.0000  12 Pt 3.39
Pt 0.0000 0.5000 0.5000  2 W 2.39
Pt 0.5000 0.0000 0.5000  2 W 2.39
Pt 0.5000 0.5000 0.0000  2 W 2.39
W 0.5000 0.5000 0.5000  6 Pt 2.39


No. 4
Material: ZrPtW3
Method: DFT, meta-GGA SCAN
State: PBEsol geometry

Results
**Uncorrected energy**: -296.1 eV for the cell shown
**Crystal system**: cubic
**E_form**: 2.77 eV per atom
**Volume**: 19.810 Å³/atom

Cell: 4.6268 4.6268 4.6268 Å, 90.00 90.00 90.00°
With the nearest neighbours (Å) after each atom.
Positions (direct):
Zr 0.0000 0.0000 0.0000  6 W 2.31
Pt 0.5000 0.5000 0.5000  12 W 3.27
W 0.0000 0.0000 0.5000  2 Zr 2.31
W 0.0000 0.5000 0.0000  2 Zr 2.31
W 0.5000 0.0000 0.0000  2 Zr 2.31


No. 5
Material: ZrPtW
Method: DFT, meta-GGA SCAN
State: PBEsol geometry

Results
**Uncorrected energy**: -171.7 eV for the cell shown
**Crystal system**: tetragonal
**Polymorph energy (0 for the lowest one)**: 0.0 kJ/mol of formula units
**E_form**: -0.36 eV per atom
**Volume**: 16.867 Å³/atom

Cell: 6.6831 6.6831 6.6831 Å, 155.67 155.67 34.67°
With the nearest neighbours (Å) after each atom.
Positions (direct):
Zr 0.0000 0.0000 0.0000  4 Zr 2.82, 4 Pt 2.98, 4 W 3.03
Pt 0.3267 0.3267 0.0000  4 W 2.75, 4 Pt 2.82, 4 Zr 2.98
W 0.6786 0.6786 0.0000  4 Pt 2.75, 4 W 2.82, 4 Zr 3.03


No. 6
Material: ZrPtW
Method: DFT, meta-GGA SCAN
State: PBEsol geometry

Results
**Uncorrected energy**: -168.5 eV for the cell shown
**Crystal system**: cubic
**Polymorph energy (0 for the lowest one)**: 309.5 kJ/mol of formula units
**E_form**: 0.71 eV per atom
**Volume**: 20.178 Å³/atom

Cell: 4.4073 4.4073 4.4073 Å, 60.00 60.00 60.00°
With the nearest neighbours (Å) after each atom.
Positions (direct):
Zr 0.0000 0.0000 0.0000  4 W 2.70, 4 Pt 2.70
Pt 0.2500 0.2500 0.2500  4 Zr 2.70
W 0.7500 0.7500 0.7500  4 Zr 2.70


No. 7
Material: Y3Pt2
Method: DFT, meta-GGA SCAN
State: PBEsol geometry

Results
**Uncorrected energy**: -230.3 eV for the cell shown
**Crystal system**: trigonal
**E_form**: -1.27 eV per atom
**Volume**: 23.805 Å³/atom

Cell: 4.8128 4.8128 5.9335 Å, 90.00 90.00 120.00°
With the nearest neighbours (Å) after each atom.
Positions (direct):
Y 0.0000 0.0000 0.0000  6 Pt 2.96
Y 0.3333 0.6667 0.3363  5 Pt 2.91-3.02
Y 0.6667 0.3333 0.6637  5 Pt 2.91-3.02
Pt 0.3333 0.6667 0.8267  8 Y 2.91-3.02
Pt 0.6667 0.3333 0.1733  8 Y 2.91-3.02


No. 8
Material: Y5Pt3
Method: DFT, meta-GGA SCAN
State: PBEsol geometry

Results
**Uncorrected energy**: -717.9 eV for the cell shown
**Crystal system**: tetragonal
**Polymorph energy (0 for the lowest one)**: 45.3 kJ/mol of formula units
**E_form**: -1.15 eV per atom
**Volume**: 22.855 Å³/atom

Cell: 8.4061 8.4061 8.4061 Å, 97.08 97.08 138.89°
With the nearest neighbours (Å) after each atom.
Positions (direct):
Y 0.0840 0.7894 0.8734  4 Pt 2.92-3.07, 1 Y 3.23
Y 0.2106 0.0840 0.2946  4 Pt 2.92-3.07, 1 Y 3.23
Y 0.2500 0.7500 0.5000  4 Pt 2.90, 2 Y 2.95
Y 0.2894 0.5840 0.8734  4 Pt 2.92-3.07, 1 Y 3.23
Y 0.4160 0.2894 0.7054  4 Pt 2.92-3.07, 1 Y 3.23
Y 0.5840 0.7106 0.2946  4 Pt 2.92-3.07, 1 Y 3.23
Y 0.7106 0.4160 0.1266  4 Pt 2.92-3.07, 1 Y 3.23
Y 0.7500 0.2500 0.5000  4 Pt 2.90, 2 Y 2.95
Y 0.7894 0.9160 0.7054  4 Pt 2.92-3.07, 1 Y 3.23
Y 0.9160 0.2106 0.1266  4 Pt 2.92-3.07, 1 Y 3.23
Pt 0.1587 0.3413 0.5000  6 Y 2.90-3.07
Pt 0.2500 0.2500 0.0000  8 Y 2.92, 2 Pt 2.95
Pt 0.3413 0.8413 0.1826  6 Y 2.90-3.07
Pt 0.6587 0.1587 0.8174  6 Y 2.90-3.07
Pt 0.7500 0.7500 0.0000  8 Y 2.92, 2 Pt 2.95
Pt 0.8413 0.6587 0.5000  6 Y 2.90-3.07


No. 9
Material: Y4Pt3
Method: DFT, meta-GGA SCAN
State: PBEsol geometry

Results
**Uncorrected energy**: -662.5 eV for the cell shown
**Crystal system**: trigonal
**E_form**: -1.33 eV per atom
**Volume**: 22.521 Å³/atom

Cell: 7.3434 7.3434 7.3434 Å, 108.50 108.50 108.50°
With the nearest neighbours (Å) after each atom.
Positions (direct):
Y 0.0000 0.0000 0.0000  6 Pt 3.07
Y 0.1483 0.6673 0.2782  5 Pt 2.80-3.11
Y 0.2782 0.1483 0.6673  5 Pt 2.80-3.11
Y 0.3327 0.7218 0.8517  5 Pt 2.80-3.11
Y 0.5000 0.5000 0.5000  6 Pt 2.96
Y 0.6673 0.2782 0.1483  5 Pt 2.80-3.11
Y 0.7218 0.8517 0.3327  5 Pt 2.80-3.11
Y 0.8517 0.3327 0.7218  5 Pt 2.80-3.11
Pt 0.0475 0.3048 0.4298  7 Y 2.80-3.11, 1 Pt 3.10
Pt 0.3048 0.4298 0.0475  7 Y 2.80-3.11, 1 Pt 3.10
Pt 0.4298 0.0475 0.3048  7 Y 2.80-3.11, 1 Pt 3.10
Pt 0.5702 0.9525 0.6952  7 Y 2.80-3.11, 1 Pt 3.10
Pt 0.6952 0.5702 0.9525  7 Y 2.80-3.11, 1 Pt 3.10
Pt 0.9525 0.6952 0.5702  7 Y 2.80-3.11, 1 Pt 3.10


No. 10
Material: Y2Pt
Method: DFT, meta-GGA SCAN
State: PBEsol geometry

Results
**Uncorrected energy**: -258.2 eV for the cell shown
**Crystal system**: monoclinic
**E_form**: -1.07 eV per atom
**Volume**: 24.943 Å³/atom

Cell: 6.2939 6.2939 7.9389 Å, 121.95 121.95 34.89°
With the nearest neighbours (Å) after each atom.
Positions (direct):
Y 0.0871 0.0871 0.3810  4 Pt 2.88-3.05
Y 0.3356 0.3356 0.9264  3 Pt 2.81-2.87
Y 0.6644 0.6644 0.0736  3 Pt 2.81-2.87
Y 0.9129 0.9129 0.6190  4 Pt 2.88-3.05
Pt 0.3660 0.3660 0.3116  7 Y 2.81-3.05, 1 Pt 2.94
Pt 0.6340 0.6340 0.6884  7 Y 2.81-3.05, 1 Pt 2.94


No. 11
Material: Y2Pt
Method: DFT, meta-GGA SCAN
State: PBEsol geometry

Results
**Uncorrected energy**: -517.4 eV for the cell shown
**Crystal system**: orthorhombic
**E_form**: -1.16 eV per atom
**Volume**: 24.110 Å³/atom

Cell: 7.0456 4.7204 8.6991 Å, 90.00 90.00 90.00°
With the nearest neighbours (Å) after each atom.
Positions (direct):
Y 0.0099 0.2500 0.1692  3 Pt 2.80-3.02
Y 0.1452 0.2500 0.5811  4 Pt 2.85-2.92
Y 0.3548 0.7500 0.0811  4 Pt 2.85-2.92
Y 0.4901 0.7500 0.6692  3 Pt 2.80-3.02
Y 0.5099 0.2500 0.3308  3 Pt 2.80-3.02
Y 0.6452 0.2500 0.9189  4 Pt 2.85-2.92
Y 0.8548 0.7500 0.4189  4 Pt 2.85-2.92
Y 0.9901 0.7500 0.8308  3 Pt 2.80-3.02
Pt 0.2410 0.2500 0.9069  7 Y 2.80-3.02
Pt 0.2590 0.7500 0.4069  7 Y 2.80-3.02
Pt 0.7410 0.2500 0.5931  7 Y 2.80-3.02
Pt 0.7590 0.7500 0.0931  7 Y 2.80-3.02


No. 12
Material: Y2Pt
Method: DFT, meta-GGA SCAN
State: PBEsol geometry

Results
**Uncorrected energy**: -387.4 eV for the cell shown
**Crystal system**: hexagonal
**E_form**: -1.09 eV per atom
**Volume**: 24.097 Å³/atom

Cell: 7.3163 7.3163 4.6784 Å, 90.00 90.00 120.00°
With the nearest neighbours (Å) after each atom.
Positions (direct):
Y 0.0000 0.2609 0.0000  4 Pt 2.74-3.02
Y 0.0000 0.5900 0.5000  5 Pt 3.00-3.22, 2 Y 3.36
Y 0.2609 0.0000 0.0000  4 Pt 2.74-3.02
Y 0.4100 0.4100 0.5000  5 Pt 3.00-3.22, 2 Y 3.36
Y 0.5900 0.0000 0.5000  5 Pt 3.00-3.22, 2 Y 3.36
Y 0.7391 0.7391 0.0000  4 Pt 2.74-3.02
Pt 0.0000 0.0000 0.5000  9 Y 3.00-3.02
Pt 0.3333 0.6667 0.0000  3 Y 2.74
Pt 0.6667 0.3333 0.0000  3 Y 2.74